--- one ---
CeErSc3 | PBE | relaxed

Summary:
total magnetization	0.00	μB/atom
V	26.45	A^3/atom
SG	C2/c (15)
DOS(E_F)	1.75	states/eV/atom

The structure in POSCAR format:
```
CeErSc3
1.0
8.281 -3.106 0.000
8.281 3.106 0.000
-6.147 0.000 10.283
Ce Er Sc
4 4 12
Cartesian
1.627 1.824 6.326 Ce
5.714 1.824 9.098 Ce
4.701 -1.824 1.185 Ce
8.788 -1.824 3.957 Ce
4.141 1.553 0.000 Er
6.744 2.168 2.571 Er
1.067 -1.553 5.141 Er
3.671 -2.168 7.712 Er
1.269 0.325 0.756 Sc
-1.805 -0.325 5.897 Sc
3.467 0.432 3.079 Sc
0.394 -0.432 8.220 Sc
4.146 0.494 6.104 Sc
3.195 0.494 9.320 Sc
7.220 -0.494 0.963 Sc
6.269 -0.494 4.179 Sc
10.022 0.432 2.063 Sc
6.948 -0.432 7.204 Sc
12.220 0.325 4.386 Sc
9.146 -0.325 9.527 Sc
```

***

--- two ---
CeErSc3 | PBE | relaxed

Summary:
total magnetization	0.15	μB/atom
V	26.62	A^3/atom
SG	C2/c (15)
DOS(E_F)	1.93	states/eV/atom

The structure in POSCAR format:
```
CeErSc3
1.0
9.615 -4.553 0.000
9.615 4.553 0.000
-0.358 0.000 6.080
Ce Er Sc
4 4 12
Cartesian
4.315 0.635 0.808 Ce
4.136 -0.635 3.848 Ce
14.735 0.635 2.232 Ce
14.556 -0.635 5.272 Ce
9.346 2.299 4.560 Er
9.525 1.045 1.520 Er
9.346 -1.045 4.560 Er
9.525 -2.299 1.520 Er
1.128 0.511 5.417 Sc
6.376 2.284 2.659 Sc
1.307 -0.511 2.377 Sc
6.692 0.869 5.550 Sc
12.675 2.284 0.381 Sc
6.872 -0.869 2.510 Sc
12.000 0.869 3.571 Sc
6.197 -2.284 5.699 Sc
12.179 -0.869 0.530 Sc
17.565 0.511 3.703 Sc
12.496 -2.284 3.421 Sc
17.744 -0.511 0.663 Sc
```

***

two has the most favorable energy; the next structure is 3.4 kJ/mol of atoms above.

***

--- one ---
CeEr6Sc2 | PBE | relaxed

Summary:
total magnetization	0.00	μB/atom
V	29.75	A^3/atom
SG	R3m (160)
DOS(E_F)	0.93	states/eV/atom

The structure in POSCAR format:
```
CeEr6Sc2
1.0
3.542 2.045 6.162
-3.542 2.045 6.162
0.000 -4.090 6.162
Ce Er Sc
1 6 2
Cartesian
0.000 0.000 0.000 Ce
-1.571 -0.907 10.807 Er
-1.728 -0.998 14.440 Er
1.571 -0.907 10.807 Er
0.000 1.814 10.807 Er
1.728 -0.998 14.440 Er
0.000 1.995 14.440 Er
0.000 0.000 4.833 Sc
0.000 0.000 8.098 Sc
```

***

--- two ---
CeEr6Sc2 | PBE | relaxed

Summary:
total magnetization	0.13	μB/atom
V	29.47	A^3/atom
SG	C2/c (15)
DOS(E_F)	1.87	states/eV/atom

The structure in POSCAR format:
```
CeEr6Sc2
1.0
6.067 -7.027 0.000
6.067 7.027 0.000
-1.309 0.000 6.221
Ce Er Sc
2 12 4
Cartesian
5.086 5.550 4.666 Ce
5.740 -5.550 1.555 Ce
0.756 1.314 5.009 Er
2.778 2.575 1.844 Er
1.410 -1.314 1.898 Er
4.245 2.647 6.136 Er
5.927 2.647 3.196 Er
2.123 -2.575 4.954 Er
8.703 2.575 1.267 Er
4.900 -2.647 3.025 Er
6.581 -2.647 0.086 Er
9.416 1.314 4.323 Er
8.048 -2.575 4.378 Er
10.071 -1.314 1.212 Er
3.671 0.236 3.969 Sc
4.326 -0.236 0.859 Sc
6.500 0.236 5.362 Sc
7.155 -0.236 2.252 Sc
```

***

two has the most favorable energy; the next structure is 22.1 kJ/mol of atoms above.

***

--- one ---
CeErSe | PBE | relaxed

Summary:
total magnetization	0.52	μB/atom
V	26.73	A^3/atom
SG	I4mm (107)
DOS(E_F)	2.32	states/eV/atom

The structure in POSCAR format:
```
CeErSe
1.0
-1.793 1.793 6.236
1.793 -1.793 6.236
1.793 1.793 -6.236
Ce Er Se
1 1 1
Cartesian
0.000 0.000 0.000 Ce
0.000 0.000 8.942 Er
0.000 0.000 4.374 Se
```

***

--- two ---
CeErSe | PBE | relaxed

Summary:
total magnetization	0.61	μB/atom
V	28.74	A^3/atom
SG	P3m1 (156)
DOS(E_F)	2.34	states/eV/atom

The structure in POSCAR format:
```
CeErSe
1.0
3.851 0.000 0.000
-1.925 3.335 0.000
0.000 0.000 6.715
Ce Er Se
1 1 1
Cartesian
0.000 0.000 0.000 Ce
0.000 2.223 3.740 Er
1.925 1.112 1.959 Se
```

***

two has the most favorable energy; the next structure is 11.0 kJ/mol of atoms above.